1.
# ZrScCr2, relaxed, DFT PBE
data_ZrScCr2
_space_group_name_H-M_alt 'I m m 2'
_space_group_IT_number 44
_space_group_name_Hall 'I 2 -2'
_cell_length_a 3.1572
_cell_length_b 4.6266
_cell_length_c 9.3949
_cell_angle_alpha 90.00
_cell_angle_beta 90.00
_cell_angle_gamma 90.00
loop_
_atom_site_label
_atom_site_type_symbol
_atom_site_fract_x
_atom_site_fract_y
_atom_site_fract_z
_atom_site_occupancy
Zr1 Zr 0.0000 0.0000 0.0000 1
Sc1 Sc 0.0000 0.5000 0.2247 1
Cr1 Cr 0.0000 0.0000 0.4532 1
Cr2 Cr 0.0000 0.5000 0.7787 1
# Formation energy in eV/f.u.: 0.60
# Final energy in eV/atom: -8.381
# Spin magnetization in μB per cell: 0.2



2.
# LiSb2OsI, relaxed, DFT PBE
data_LiSb2OsI
_space_group_name_H-M_alt 'P 4/m m m'
_space_group_IT_number 123
_space_group_name_Hall '-P 4 2'
_cell_length_a 5.0543
_cell_length_b 5.0543
_cell_length_c 6.1567
_cell_angle_alpha 90.00
_cell_angle_beta 90.00
_cell_angle_gamma 90.00
loop_
_atom_site_label
_atom_site_type_symbol
_atom_site_fract_x
_atom_site_fract_y
_atom_site_fract_z
_atom_site_occupancy
Li1 Li 0.0000 0.0000 0.0000 1
Sb1 Sb 0.0000 0.5000 0.5000 1
Os1 Os 0.5000 0.5000 0.5000 1
I1 I 0.5000 0.5000 0.0000 1
# ΔE to the lowest computed polymorph in eV/atom: 0.000
# Final energy in eV/atom: -4.208
# Spin magnetization in μB per cell: 0.0



3.
# Tc3Hg, relaxed, DFT PBE
data_Tc3Hg
_space_group_name_H-M_alt 'P m -3 m'
_space_group_IT_number 221
_space_group_name_Hall '-P 4 2 3'
_cell_length_a 5.2628
_cell_length_b 5.2628
_cell_length_c 5.2628
_cell_angle_alpha 90.00
_cell_angle_beta 90.00
_cell_angle_gamma 90.00
loop_
_atom_site_label
_atom_site_type_symbol
_atom_site_fract_x
_atom_site_fract_y
_atom_site_fract_z
_atom_site_occupancy
Tc1 Tc 0.0000 0.0000 0.5000 1
Hg1 Hg 0.0000 0.0000 0.0000 1
# ΔE to the lowest computed polymorph in eV/atom: 3.051
# Formation energy in eV/f.u.: 13.39
# Final energy in eV/atom: -4.503
# Spin magnetization in μB per cell: 11.0



4.
# CaCd7Ni5, relaxed, DFT PBE
data_CaCd7Ni5
_space_group_name_H-M_alt 'I m m 2'
_space_group_IT_number 44
_space_group_name_Hall 'I 2 -2'
_cell_length_a 5.3743
_cell_length_b 9.1968
_cell_length_c 9.2950
_cell_angle_alpha 90.00
_cell_angle_beta 90.00
_cell_angle_gamma 90.00
loop_
_atom_site_label
_atom_site_type_symbol
_atom_site_fract_x
_atom_site_fract_y
_atom_site_fract_z
_atom_site_occupancy
Ca1 Ca 0.0000 0.0000 0.0000 1
Cd1 Cd 0.0000 0.0000 0.3484 1
Cd2 Cd 0.0000 0.0000 0.6794 1
Cd3 Cd 0.0000 0.2974 0.5163 1
Cd4 Cd 0.0000 0.3394 0.0351 1
Cd5 Cd 0.0000 0.5000 0.7513 1
Ni1 Ni 0.0000 0.5000 0.2913 1
Ni2 Ni 0.2469 0.2414 0.7753 1
# Formation energy in eV/f.u.: -0.92
# Final energy in eV/atom: -2.941
# Spin magnetization in μB per cell: 0.0



5.
# ZnHg2Se2, relaxed, DFT PBE
data_ZnHg2Se2
_space_group_name_H-M_alt 'P 4/m b m'
_space_group_IT_number 127
_space_group_name_Hall '-P 4 2ab'
_cell_length_a 7.7115
_cell_length_b 7.7115
_cell_length_c 4.4002
_cell_angle_alpha 90.00
_cell_angle_beta 90.00
_cell_angle_gamma 90.00
loop_
_atom_site_label
_atom_site_type_symbol
_atom_site_fract_x
_atom_site_fract_y
_atom_site_fract_z
_atom_site_occupancy
Zn1 Zn 0.0000 0.0000 0.0000 1
Hg1 Hg 0.1236 0.3764 0.5000 1
Se1 Se 0.2276 0.7276 0.0000 1
# Final energy in eV/atom: -1.769
# Spin magnetization in μB per cell: 0.0



6.
# Co3HSe, relaxed, DFT PBE
data_Co3HSe
_space_group_name_H-M_alt 'P m -3 m'
_space_group_IT_number 221
_space_group_name_Hall '-P 4 2 3'
_cell_length_a 3.6621
_cell_length_b 3.6621
_cell_length_c 3.6621
_cell_angle_alpha 90.00
_cell_angle_beta 90.00
_cell_angle_gamma 90.00
loop_
_atom_site_label
_atom_site_type_symbol
_atom_site_fract_x
_atom_site_fract_y
_atom_site_fract_z
_atom_site_occupancy
Co1 Co 0.0000 0.0000 0.5000 1
H1 H 0.0000 0.0000 0.0000 1
Se1 Se 0.5000 0.5000 0.5000 1
# ΔE to the lowest computed polymorph in eV/atom: 0.000
# Final energy in eV/atom: -5.447
# Spin magnetization in μB per cell: 2.7



| no. | mass density (Mg/m³) |
| --- | --- |
| 1 | 5.8 |
| 2 | 6.0 |
| 3 | 5.6 |
| 4 | 8.1 |
| 5 | 7.9 |
| 6 | 8.7 |